one | DFT (PBEsol) results for a relaxed structure of CaLa2Co.

DOS at the Fermi energy	12.56	states/eV per cell

```
data_CaLa2Co
_chemical_formula_sum 'Ca3 La6 Co3'
_space_group_name_H-M_alt 'R -3 m'
_space_group_IT_number 166
_space_group_name_Hall '-R 3 2"'
_cell_length_a 3.9406
_cell_length_b 3.9406
_cell_length_c 28.7351
_cell_angle_alpha 90.00
_cell_angle_beta 90.00
_cell_angle_gamma 120.00
loop_
_atom_site_label
_atom_site_fract_x
_atom_site_fract_y
_atom_site_fract_z
Ca1 0.0000 0.0000 0.0000
La1 0.0000 0.0000 0.2183
Co1 0.0000 0.0000 0.5000
```


two | DFT (PBEsol) results for a relaxed structure of CaLa2Co.

DOS at the Fermi energy	18.61	states/eV per cell

```
data_CaLa2Co
_chemical_formula_sum 'Ca4 La8 Co4'
_space_group_name_H-M_alt 'F -4 3 m'
_space_group_IT_number 216
_space_group_name_Hall 'F -4 2 3'
_cell_length_a 7.333
_cell_length_b 7.333
_cell_length_c 7.333
_cell_angle_alpha 90.00
_cell_angle_beta 90.00
_cell_angle_gamma 90.00
loop_
_atom_site_label
_atom_site_fract_x
_atom_site_fract_y
_atom_site_fract_z
Ca1 0.000 0.000 0.000
La1 0.000 0.000 0.500
La2 0.250 0.250 0.750
Co1 0.250 0.250 0.250
```


Going by the computed energies, the most stable comes first: one, two.


one | DFT (PBEsol) results for a relaxed structure of ScReHg2.

DOS at the Fermi energy	16.59	states/eV per cell

```
data_ScReHg2
_chemical_formula_sum 'Sc4 Re4 Hg8'
_space_group_name_H-M_alt 'F m -3 m'
_space_group_IT_number 225
_space_group_name_Hall '-F 4 2 3'
_cell_length_a 6.628
_cell_length_b 6.628
_cell_length_c 6.628
_cell_angle_alpha 90.00
_cell_angle_beta 90.00
_cell_angle_gamma 90.00
loop_
_atom_site_label
_atom_site_fract_x
_atom_site_fract_y
_atom_site_fract_z
Sc1 0.000 0.000 0.000
Re1 0.000 0.000 0.500
Hg1 0.250 0.250 0.250
```


two | DFT (PBEsol) results for a relaxed structure of ScReHg2.

DOS at the Fermi energy	2.23	states/eV per cell

```
data_ScReHg2
_chemical_formula_sum 'Sc1 Re1 Hg2'
_space_group_name_H-M_alt 'P 1 m 1'
_space_group_IT_number 6
_cell_length_a 2.920
_cell_length_b 4.806
_cell_length_c 5.167
_cell_angle_alpha 90.00
_cell_angle_beta 91.54
_cell_angle_gamma 90.00
loop_
_space_group_symop_operation_xyz
'x,y,z'
'x,-y,z'
loop_
_atom_site_label
_atom_site_fract_x
_atom_site_fract_y
_atom_site_fract_z
Sc1 0.000 0.000 0.000
Re1 0.092 0.500 0.721
Hg1 0.528 0.000 0.514
Hg2 0.554 0.500 0.210
```


Going by the computed energies, the most stable comes first: two, one.


one | DFT (PBEsol) results for a relaxed structure of MgAlAg2.

DOS at the Fermi energy	1.02	states/eV per cell

```
data_MgAlAg2
_chemical_formula_sum 'Mg1 Al1 Ag2'
_space_group_name_H-M_alt 'P 1 2/m 1'
_space_group_IT_number 10
_cell_length_a 2.901
_cell_length_b 4.277
_cell_length_c 5.660
_cell_angle_alpha 90.00
_cell_angle_beta 103.61
_cell_angle_gamma 90.00
loop_
_space_group_symop_operation_xyz
'x,y,z'
'-x,-y,-z'
'-x,y,-z'
'x,-y,z'
loop_
_atom_site_label
_atom_site_fract_x
_atom_site_fract_y
_atom_site_fract_z
Mg1 0.000 0.000 0.000
Al1 0.500 0.000 0.500
Ag1 0.324 0.500 0.740
```


two | DFT (PBEsol) results for a relaxed structure of MgAlAg2.

DOS at the Fermi energy	3.14	states/eV per cell

```
data_MgAlAg2
_chemical_formula_sum 'Mg4 Al4 Ag8'
_space_group_name_H-M_alt 'F m -3 m'
_space_group_IT_number 225
_space_group_name_Hall '-F 4 2 3'
_cell_length_a 6.425
_cell_length_b 6.425
_cell_length_c 6.425
_cell_angle_alpha 90.00
_cell_angle_beta 90.00
_cell_angle_gamma 90.00
loop_
_atom_site_label
_atom_site_fract_x
_atom_site_fract_y
_atom_site_fract_z
Mg1 0.000 0.000 0.000
Al1 0.000 0.000 0.500
Ag1 0.250 0.250 0.250
```


Going by the computed energies, the most stable comes first: two, one.